Entry 1:
Li2ErInI6 | Alexandria | PBE | relaxed; DOS at the Fermi energy = 0.000 states/eV per atom; ΔE_f (raw) = -1.0897 eV per atom; energy = -3.13 eV per atom
1.0
3.902 2.253 7.195
-3.902 2.253 7.195
0.000 -4.506 7.195
Li Er In I
2 1 1 6
Cartesian
0.000 0.000 0.000 Li
0.000 0.000 10.649 Li
0.000 0.000 14.620 Er
0.000 0.000 4.099 In
-1.291 -2.226 8.951 I
-2.313 -0.384 12.702 I
-1.282 2.231 8.951 I
1.489 -1.811 12.702 I
2.573 -0.005 8.951 I
0.824 2.195 12.702 I

=====

Entry 2:
ErInIO6 | Alexandria | PBE | relaxed; DOS at the Fermi energy = 0.443 states/eV per atom; ΔE_f (raw) = -1.4256 eV per atom; energy = -5.71 eV per atom
1.0
5.556 0.000 0.000
-2.778 4.812 0.000
0.000 0.000 9.165
Er In I O
2 2 2 12
Cartesian
0.000 3.208 2.291 Er
2.778 1.604 6.874 Er
0.000 0.000 0.000 In
0.000 0.000 4.582 In
0.000 3.208 6.874 I
2.778 1.604 2.291 I
-0.819 1.734 5.772 O
-1.686 3.236 7.975 O
0.819 1.734 7.975 O
-0.867 4.654 5.772 O
1.911 0.158 1.190 O
1.092 1.576 3.393 O
1.686 3.236 5.772 O
0.867 4.654 7.975 O
3.645 0.158 3.393 O
1.959 3.078 1.190 O
4.464 1.576 1.190 O
3.597 3.078 3.393 O

=====

Entry 3:
ErInPbI6 | Alexandria | PBE | relaxed; DOS at the Fermi energy = 0.000 states/eV per atom; ΔE_f (raw) = -0.9277 eV per atom; energy = -3.18 eV per atom
1.0
8.057 0.000 0.000
-4.028 6.977 0.000
0.000 0.000 15.083
Er In Pb I
2 2 2 12
Cartesian
0.000 4.651 3.771 Er
4.028 2.326 11.313 Er
0.000 0.000 0.000 In
0.000 0.000 7.542 In
0.000 4.651 11.313 Pb
4.028 2.326 3.771 Pb
-1.319 2.585 1.994 I
-2.449 4.543 5.547 I
1.319 2.585 5.547 I
-1.130 6.827 1.994 I
2.898 0.150 9.536 I
1.579 2.435 13.089 I
2.449 4.543 1.994 I
1.130 6.827 5.547 I
5.159 0.150 13.089 I
2.709 4.392 9.536 I
6.477 2.435 9.536 I
5.347 4.392 13.089 I

=====

Entry 4:
ErInSnI6 | Alexandria | PBE | relaxed; DOS at the Fermi energy = 0.000 states/eV per atom; ΔE_f (raw) = -0.8833 eV per atom; energy = -3.17 eV per atom
1.0
7.991 0.000 0.000
-3.995 6.920 0.000
0.000 0.000 15.104
Er In Sn I
2 2 2 12
Cartesian
0.000 4.613 3.776 Er
3.995 2.307 11.328 Er
0.000 0.000 0.000 In
0.000 0.000 7.552 In
0.000 4.613 11.328 Sn
3.995 2.307 3.776 Sn
-1.343 2.555 2.011 I
-2.454 4.480 5.540 I
1.343 2.555 5.540 I
-1.112 6.806 2.011 I
2.884 0.114 9.563 I
1.541 2.440 13.092 I
2.454 4.480 2.011 I
1.112 6.806 5.540 I
5.107 0.114 13.092 I
2.653 4.366 9.563 I
6.450 2.440 9.563 I
5.338 4.366 13.092 I

=====

Entry 5:
SrErInI6 | Alexandria | PBE | relaxed; DOS at the Fermi energy = 0.000 states/eV per atom; ΔE_f (raw) = -1.2779 eV per atom; energy = -3.31 eV per atom
1.0
8.143 0.000 0.000
-4.071 7.052 0.000
0.000 0.000 15.019
Sr Er In I
2 2 2 12
Cartesian
0.000 4.701 3.755 Sr
4.071 2.351 11.265 Sr
0.000 4.701 11.265 Er
4.071 2.351 3.755 Er
0.000 0.000 0.000 In
0.000 0.000 7.510 In
-1.306 2.623 9.489 I
-2.453 4.609 13.040 I
1.306 2.623 13.040 I
-1.147 6.871 9.489 I
2.924 0.180 1.980 I
1.618 2.442 5.530 I
2.453 4.609 9.489 I
1.147 6.871 13.040 I
5.218 0.180 5.530 I
2.765 4.429 1.980 I
6.524 2.442 1.980 I
5.377 4.429 5.530 I

=====

Entry 6:
ErTl3In3I8 | Alexandria | PBE | relaxed; DOS at the Fermi energy = 0.372 states/eV per atom; ΔE_f (raw) = -0.6650 eV per atom; energy = -2.82 eV per atom
1.0
8.540 -5.002 0.000
8.540 5.002 0.000
-5.607 0.000 8.227
Er Tl In I
1 3 3 8
Cartesian
0.000 0.000 0.000 Er
-2.803 0.000 4.113 Tl
4.270 2.501 0.000 Tl
4.270 -2.501 0.000 Tl
1.467 2.501 4.113 In
1.467 -2.501 4.113 In
8.540 0.000 0.000 In
2.458 0.000 1.785 I
4.122 2.839 6.458 I
7.350 2.839 1.768 I
0.101 0.000 6.154 I
11.371 0.000 2.073 I
4.122 -2.839 6.458 I
7.350 -2.839 1.768 I
9.015 0.000 6.442 I

=====

Question: Which value of DOS at the Fermi energy does entry 5 give?
Answer: 0.000 states/eV per atom

=====

Question: Which formula does entry 5 have?
Answer: SrErInI6